Below is an optimized crystal structure of SrPrFe2O6, with properties calculated at the PBE+U level.

abc: 7.8385 5.5646 5.5606
angles: 90.00 90.00 90.00
Last column: nearest neighbours and their distance in Å.
Space group Pmn2_1 (No. 31)
Asymmetric unit:
1 Sr 0.0000 0.2306 0.0000 [2 per cell]  8 O 2.51-2.79
2 Pr 0.0000 0.7153 0.4878 [2 per cell]  6 O 2.43-2.58
3 Fe 0.2502 0.2466 0.4970 [4 per cell]  6 O 1.99-2.01
4 O 0.0000 0.2653 0.5500 [2 per cell]  2 Fe 1.99
5 O 0.0000 0.7565 0.9222 [2 per cell]  2 Fe 2.00
6 O 0.2127 0.9675 0.2800 [4 per cell]  2 Fe 1.99
7 O 0.2182 0.4820 0.2305 [4 per cell]  2 Fe 1.99-2.01

Crystal system   orthorhombic
Spin magnetization   9.0 μB per formula unit
DFT total energy   -138.85 eV/cell